A plane-wave DFT calculation with PBE with a Hubbard U was carried out for GeWF2 after structural relaxation.

abc: 2.9565 2.9565 31.1521
angles: 90.00 90.00 120.00
Closest atoms and distances in Å follow each position.
Fractional coordinates of all 12 atoms:
Ge1 0.0000 0.0000 0.0000  6 Ge 2.96
Ge2 0.3333 0.6667 0.6667  6 Ge 2.96
Ge3 0.6667 0.3333 0.3333  6 Ge 2.96
W1 0.0000 0.0000 0.5000  2 F 1.88
W2 0.3333 0.6667 0.1667  2 F 1.88
W3 0.6667 0.3333 0.8333  2 F 1.88
F1 0.0000 0.0000 0.4396  1 W 1.88
F2 0.0000 0.0000 0.5604  1 W 1.88
F3 0.3333 0.6667 0.1063  1 W 1.88
F4 0.3333 0.6667 0.2271  1 W 1.88
F5 0.6667 0.3333 0.7729  1 W 1.88
F6 0.6667 0.3333 0.8937  1 W 1.88

Properties
**Space group**: No. 166
**Energy relative to the lowest polymorph listed for this composition**: 0 meV/atom
**DFT total energy**: -57.34 eV for the cell shown